(w)
The following is a PBE calculation of a relaxed CaNd3Cd2 crystal, from the Alexandria database.

Unit cell a=5.434 b=9.801 c=7.021 alpha=90.00 beta=90.00 gamma=90.00
Space group Pmc2_1 (No. 26)
Symmetry-distinct sites (fractional):
Ca1 0.000 0.040 0.000 [2 per cell]
Nd1 0.000 0.328 0.668 [2 per cell]
Nd2 0.500 0.175 0.296 [2 per cell]
Nd3 0.500 0.455 0.968 [2 per cell]
Cd1 0.000 0.346 0.207 [2 per cell]
Cd2 0.500 0.151 0.759 [2 per cell]

Computed properties:
D(E_F): 7.041 states/eV/f.u.



(x)
The following is a PBE calculation of a relaxed CaNd3Cd2 crystal, from the Alexandria database.

Unit cell a=16.476 b=5.551 c=9.339 alpha=90.00 beta=117.83 gamma=90.00
Space group C2/m (No. 12)
Symmetry-distinct sites (fractional):
Ca1 0.135 0.000 0.189 [4 per cell]
Nd1 0.060 0.000 0.717 [4 per cell]
Nd2 0.119 0.500 0.542 [4 per cell]
Nd3 0.190 0.500 0.001 [4 per cell]
Cd1 0.025 0.500 0.168 [4 per cell]
Cd2 0.234 0.000 0.603 [4 per cell]

Computed properties:
D(E_F): 6.467 states/eV/f.u.



Stability ranking, top entry: (w); the second entry is 60 meV/atom less favorable.



(w)
The following is a PBE calculation of a relaxed CaNd2Cd3 crystal, from the Alexandria database.

Unit cell a=5.4420 b=5.4420 c=13.3236 alpha=90.00 beta=90.00 gamma=120.00
Space group P-3m1 (No. 164)
Symmetry-distinct sites (fractional):
Ca1 0.3333 0.6667 0.1670 [2 per cell]
Nd1 0.0000 0.0000 0.0000 [1 per cell]
Nd2 0.0000 0.0000 0.5000 [1 per cell]
Nd3 0.3333 0.6667 0.6700 [2 per cell]
Cd1 0.0000 0.0000 0.2490 [2 per cell]
Cd2 0.3333 0.6667 0.4174 [2 per cell]
Cd3 0.3333 0.6667 0.9174 [2 per cell]

Computed properties:
D(E_F): 5.684 states/eV/f.u.



(x)
The following is a PBE calculation of a relaxed CaNd2Cd3 crystal, from the Alexandria database.

Unit cell a=3.831 b=3.831 c=11.706 alpha=90.00 beta=90.00 gamma=90.00
Space group P4/mmm (No. 123)
Symmetry-distinct sites (fractional):
Ca1 0.000 0.000 0.000 [1 per cell]
Nd1 0.000 0.000 0.335 [2 per cell]
Cd1 0.500 0.500 0.169 [2 per cell]
Cd2 0.500 0.500 0.500 [1 per cell]

Computed properties:
D(E_F): 5.383 states/eV/f.u.



Stability ranking, top entry: (w); the second entry is 12 meV/atom less favorable.



(w)
The following is a PBE calculation of a relaxed CaPmNdCd crystal, from the Alexandria database.

Unit cell a=3.684 b=3.684 c=9.590 alpha=90.00 beta=90.00 gamma=90.00
Space group P4mm (No. 99)
Symmetry-distinct sites (fractional):
Ca1 0.000 0.000 0.000 [1 per cell]
Pm1 0.000 0.000 0.568 [1 per cell]
Nd1 0.500 0.500 0.304 [1 per cell]
Cd1 0.500 0.500 0.784 [1 per cell]

Computed properties:
D(E_F): 4.969 states/eV/f.u.



(x)
The following is a PBE calculation of a relaxed CaPmNdCd crystal, from the Alexandria database.

Unit cell a=7.957 b=7.957 c=7.957 alpha=90.00 beta=90.00 gamma=90.00
Space group F-43m (No. 216)
Symmetry-distinct sites (fractional):
Ca1 0.000 0.000 0.000 [4 per cell]
Pm1 0.250 0.250 0.250 [4 per cell]
Nd1 0.250 0.250 0.750 [4 per cell]
Cd1 0.000 0.000 0.500 [4 per cell]

Computed properties:
D(E_F): 4.865 states/eV/f.u.



Stability ranking, top entry: (w); the second entry is 96 meV/atom less favorable.



(w)
The following is a PBE calculation of a relaxed CaNdSmCd crystal, from the Alexandria database.

Unit cell a=7.941 b=7.941 c=7.941 alpha=90.00 beta=90.00 gamma=90.00
Space group F-43m (No. 216)
Symmetry-distinct sites (fractional):
Ca1 0.000 0.000 0.000 [4 per cell]
Nd1 0.250 0.250 0.250 [4 per cell]
Sm1 0.250 0.250 0.750 [4 per cell]
Cd1 0.000 0.000 0.500 [4 per cell]

Computed properties:
D(E_F): 4.885 states/eV/f.u.



(x)
The following is a PBE calculation of a relaxed CaNdSmCd crystal, from the Alexandria database.

Unit cell a=3.677 b=3.677 c=9.576 alpha=90.00 beta=90.00 gamma=90.00
Space group P4mm (No. 99)
Symmetry-distinct sites (fractional):
Ca1 0.000 0.000 0.000 [1 per cell]
Nd1 0.500 0.500 0.305 [1 per cell]
Sm1 0.000 0.000 0.568 [1 per cell]
Cd1 0.500 0.500 0.783 [1 per cell]

Computed properties:
D(E_F): 5.042 states/eV/f.u.



Stability ranking, top entry: (x); the second entry is 100 meV/atom less favorable.



(w)
The following is a PBE calculation of a relaxed CaNdCdSn crystal, from the Alexandria database.

Unit cell a=7.688 b=7.688 c=7.688 alpha=90.00 beta=90.00 gamma=90.00
Space group F-43m (No. 216)
Symmetry-distinct sites (fractional):
Ca1 0.000 0.000 0.000 [4 per cell]
Nd1 0.000 0.000 0.500 [4 per cell]
Cd1 0.250 0.250 0.250 [4 per cell]
Sn1 0.250 0.250 0.750 [4 per cell]

Computed properties:
D(E_F): 3.694 states/eV/f.u.



(x)
The following is a PBE calculation of a relaxed CaNdCdSn crystal, from the Alexandria database.

Unit cell a=4.193 b=5.131 c=5.316 alpha=90.00 beta=90.00 gamma=90.00
Space group Pmmm (No. 47)
Symmetry-distinct sites (fractional):
Ca1 0.000 0.000 0.000 [1 per cell]
Nd1 0.000 0.500 0.500 [1 per cell]
Cd1 0.500 0.500 0.000 [1 per cell]
Sn1 0.500 0.000 0.500 [1 per cell]

Computed properties:
D(E_F): 2.389 states/eV/f.u.



Stability ranking, top entry: (x); the second entry is 16 meV/atom less favorable.



(w)
The following is a PBE calculation of a relaxed CaTbNdCd crystal, from the Alexandria database.

Unit cell a=7.893 b=7.893 c=7.893 alpha=90.00 beta=90.00 gamma=90.00
Space group F-43m (No. 216)
Symmetry-distinct sites (fractional):
Ca1 0.000 0.000 0.000 [4 per cell]
Tb1 0.250 0.250 0.250 [4 per cell]
Nd1 0.250 0.250 0.750 [4 per cell]
Cd1 0.000 0.000 0.500 [4 per cell]

Computed properties:
D(E_F): 4.986 states/eV/f.u.



(x)
The following is a PBE calculation of a relaxed CaTbNdCd crystal, from the Alexandria database.

Unit cell a=3.654 b=3.654 c=9.518 alpha=90.00 beta=90.00 gamma=90.00
Space group P4mm (No. 99)
Symmetry-distinct sites (fractional):
Ca1 0.000 0.000 0.000 [1 per cell]
Tb1 0.000 0.000 0.570 [1 per cell]
Nd1 0.500 0.500 0.310 [1 per cell]
Cd1 0.500 0.500 0.779 [1 per cell]

Computed properties:
D(E_F): 5.336 states/eV/f.u.



Stability ranking, top entry: (x); the second entry is 115 meV/atom less favorable.